! ErCuSnTe3 (GGA-PBE, relaxed); values from VASP
&SYSTEM
  ibrav = 0, nat = 12, ntyp = 4
/
ATOMIC_SPECIES
Te 127.60 Te.upf
Cu 63.55 Cu.upf
Er 167.26 Er.upf
Sn 118.71 Sn.upf
ATOMIC_POSITIONS crystal
Te 0.085 0.085 0.250
Cu 0.529 0.529 0.750
Te 0.355 0.355 0.436
Te 0.645 0.645 0.936
Te 0.355 0.355 0.064
Te 0.915 0.915 0.750
Er 0.000 0.000 0.000
Cu 0.471 0.471 0.250
Te 0.645 0.645 0.564
Sn 0.235 0.235 0.750
Er 0.000 0.000 0.500
Sn 0.765 0.765 0.250
CELL_PARAMETERS angstrom
7.229 -2.117 0.000
7.229 2.117 0.000
0.000 0.000 11.075
! Energy = -51.2 eV per cell

---

! AcCuB4 (GGA-PBE, relaxed); values from VASP
&SYSTEM
  ibrav = 0, nat = 6, ntyp = 3
/
ATOMIC_SPECIES
B 10.81 B.upf
Ac 227.00 Ac.upf
Cu 63.55 Cu.upf
ATOMIC_POSITIONS crystal
B 0.576 0.257 0.319
B 0.062 0.743 0.319
Ac 0.000 0.000 0.000
Cu 0.500 0.500 0.000
B 0.938 0.257 0.681
B 0.424 0.743 0.681
CELL_PARAMETERS angstrom
-1.565 -4.576 -2.530
-4.808 -1.697 1.949
2.663 3.942 -2.675
! Energy = -32.7 eV per cell

---

! LaZnPd2 (GGA-PBE, relaxed); values from VASP
&SYSTEM
  ibrav = 0, nat = 4, ntyp = 3
/
ATOMIC_SPECIES
Zn 65.41 Zn.upf
La 138.91 La.upf
Pd 106.42 Pd.upf
ATOMIC_POSITIONS crystal
Zn 0.500 0.500 0.500
La 0.250 0.250 0.250
Pd 0.750 0.750 0.750
Pd 0.000 0.000 0.000
CELL_PARAMETERS angstrom
4.385 -1.075 1.798
0.431 -3.298 3.543
2.016 -4.322 -0.935
! DFT formation energy = -473 meV/atom
! Energy = -18.4 eV per cell

---

! AcZn2Ir (GGA-PBE, relaxed); values from VASP
&SYSTEM
  ibrav = 0, nat = 8, ntyp = 3
/
ATOMIC_SPECIES
Ir 192.22 Ir.upf
Zn 65.41 Zn.upf
Ac 227.00 Ac.upf
ATOMIC_POSITIONS crystal
Ir 0.331 0.669 0.250
Zn 0.750 0.250 0.250
Ac 0.885 0.115 0.750
Zn 0.463 0.537 0.250
Zn 0.537 0.463 0.750
Ac 0.115 0.885 0.250
Ir 0.669 0.331 0.750
Zn 0.250 0.750 0.750
CELL_PARAMETERS angstrom
2.091 -9.777 0.000
2.091 9.777 0.000
0.000 0.000 4.280
! DFT formation energy = -460 meV/atom
! Energy = -34.7 eV per cell

---

! Ac2ZnSb4 (GGA-PBE, relaxed); values from VASP
&SYSTEM
  ibrav = 0, nat = 7, ntyp = 3
/
ATOMIC_SPECIES
Ac 227.00 Ac.upf
Sb 121.76 Sb.upf
Zn 65.41 Zn.upf
ATOMIC_POSITIONS crystal
Ac 0.000 0.500 0.753
Sb 0.500 0.000 0.858
Sb 0.500 0.500 0.500
Zn 0.000 0.000 0.000
Sb 0.000 0.500 0.142
Sb 0.000 0.000 0.500
Ac 0.500 0.000 0.247
CELL_PARAMETERS angstrom
-1.934 2.353 3.358
-3.576 0.848 -2.653
-4.692 -8.848 3.497
! Energy = -31.2 eV per cell

---

! NpTl (GGA-PBE, relaxed); values from VASP
&SYSTEM
  ibrav = 0, nat = 2, ntyp = 2
/
ATOMIC_SPECIES
Np 237.00 Np.upf
Tl 204.38 Tl.upf
ATOMIC_POSITIONS crystal
Np 0.000 0.000 0.000
Tl 0.250 0.250 0.250
CELL_PARAMETERS angstrom
0.000 3.559 3.559
3.559 0.000 3.559
3.559 3.559 0.000
! Energy = -12.1 eV per cell

---

! HfAlAsO (GGA-PBE, relaxed); values from VASP
&SYSTEM
  ibrav = 0, nat = 8, ntyp = 4
/
ATOMIC_SPECIES
O 16.00 O.upf
Hf 178.49 Hf.upf
Al 26.98 Al.upf
As 74.92 As.upf
ATOMIC_POSITIONS crystal
O 0.500 0.760 0.918
Hf 0.500 0.571 0.616
Al 0.000 0.165 0.399
O 0.500 0.240 0.418
As 0.000 0.720 0.320
Al 0.000 0.835 0.899
As 0.000 0.280 0.820
Hf 0.500 0.429 0.116
CELL_PARAMETERS angstrom
-0.947 1.795 2.995
2.680 -3.719 3.077
5.411 3.554 -0.418
! Energy = -57.2 eV per cell

---

! ZrCuAgBi (GGA-PBE, relaxed); values from VASP
&SYSTEM
  ibrav = 0, nat = 4, ntyp = 4
/
ATOMIC_SPECIES
Zr 91.22 Zr.upf
Ag 107.87 Ag.upf
Cu 63.55 Cu.upf
Bi 208.98 Bi.upf
ATOMIC_POSITIONS crystal
Zr 0.250 0.250 0.250
Ag 0.500 0.500 0.500
Cu 0.750 0.750 0.750
Bi 0.000 0.000 0.000
CELL_PARAMETERS angstrom
3.357 -0.791 3.461
3.210 3.504 1.137
-0.325 2.311 4.293
! Energy = -18.5 eV per cell